VASP calculation (GGA-PBE) on an optimized crystal structure of BaZnTc2.

## Properties
formation enthalpy at 0 K	4.82	eV/f.u.

abc: 4.285 4.285 8.727
angles: 90.00 90.00 90.00
Positions (direct):
Ba: 0.000 0.000 0.000
Ba: 0.500 0.500 0.500
Zn: 0.000 0.000 0.500
Zn: 0.500 0.500 0.000
Tc: 0.000 0.500 0.250
Tc: 0.000 0.500 0.750
Tc: 0.500 0.000 0.250
Tc: 0.500 0.000 0.750